# SrNiMo | Alexandria | GGA-PBE | relaxed
data_SrNiMo
_cell_length_a 4.1962
_cell_length_b 4.1953
_cell_length_c 8.0970
_cell_angle_alpha 90.00
_cell_angle_beta 90.58
_cell_angle_gamma 90.00
_space_group_name_H-M_alt 'P 1 m 1'
_space_group_IT_number 6
loop_
_space_group_symop_operation_xyz
'x,y,z'
'x,-y,z'
loop_
_atom_site_label
_atom_site_fract_x
_atom_site_fract_y
_atom_site_fract_z
Sr1 0.0000 0.0000 0.0000
Sr2 0.4941 0.5000 0.6487
Ni1 0.4856 0.0000 0.3317
Ni2 0.9864 0.0000 0.5070
Mo1 0.5066 0.5000 0.1834
Mo2 0.9960 0.5000 0.3484
# Distance to the lowest polymorph of the same formula = 0.071 eV/atom
# Total moment = 0.00 μB per formula unit
# DOS(E_F) = 1.05 states/eV per atom
# DFT total energy = -5.7518 eV per atom
# Formation energy from the elements = 0.3463 eV per atom